Entry 1:
{"formula": "GdYIn3Si2", "functional": "GGA-PBE", "state": "relaxed", "cell": [[5.346, -2.146, 0.000], [5.346, 2.146, 0.000], [-1.227, 0.000, 6.899]], "species": ["Gd", "Y", "In", "In", "In", "Si", "Si"], "frac_coords": [[0.000, 0.000, 0.000], [0.243, 0.243, 0.663], [0.316, 0.316, 0.182], [0.622, 0.622, 0.332], [0.927, 0.927, 0.481], [0.529, 0.529, 0.712], [0.714, 0.714, 0.949]], "crystal_system": "monoclinic"}



Entry 2:
{"formula": "SmGd2In", "functional": "GGA-PBE", "state": "relaxed", "cell": [[4.898, 0.000, 0.000], [0.000, 4.898, 0.000], [0.000, 0.000, 4.878]], "species": ["Sm", "Gd", "Gd", "In"], "frac_coords": [[0.000, 0.000, 0.000], [0.000, 0.500, 0.500], [0.500, 0.000, 0.500], [0.500, 0.500, 0.000]], "crystal_system": "tetragonal"}



Entry 3:
{"formula": "SmGdIn5", "functional": "GGA-PBE", "state": "relaxed", "cell": [[4.689, 0.000, 0.000], [0.000, 4.689, 0.000], [0.000, 0.000, 8.687]], "species": ["Sm", "Gd", "In", "In", "In", "In", "In"], "frac_coords": [[0.000, 0.000, 0.000], [0.000, 0.000, 0.500], [0.000, 0.500, 0.263], [0.000, 0.500, 0.737], [0.500, 0.000, 0.263], [0.500, 0.000, 0.737], [0.500, 0.500, 0.000]], "crystal_system": "tetragonal"}



Entry 4:
{"formula": "SmGdIn2", "functional": "GGA-PBE", "state": "relaxed", "cell": [[3.772, 0.000, 0.000], [0.000, 3.772, 0.000], [0.000, 0.000, 7.721]], "species": ["Sm", "Gd", "In", "In"], "frac_coords": [[0.000, 0.000, 0.000], [0.000, 0.000, 0.500], [0.500, 0.500, 0.253], [0.500, 0.500, 0.747]], "crystal_system": "tetragonal"}



Entry 5:
{"formula": "SmGdIn2", "functional": "GGA-PBE", "state": "relaxed", "cell": [[4.363, 0.000, 0.000], [0.000, 2.304, 5.831], [0.000, -2.304, 5.831]], "species": ["Sm", "Gd", "In", "In"], "frac_coords": [[0.000, 0.000, 0.000], [0.500, 0.279, 0.279], [0.000, 0.725, 0.725], [0.500, 0.556, 0.556]], "crystal_system": "orthorhombic"}



Entry 6:
{"formula": "Sm2Gd2TlIn", "functional": "GGA-PBE", "state": "relaxed", "cell": [[5.474, 0.000, 0.000], [-2.737, 4.741, 0.000], [0.000, 0.000, 6.833]], "species": ["Sm", "Sm", "Gd", "Gd", "Tl", "In"], "frac_coords": [[0.000, 0.000, 0.000], [0.333, 0.667, 0.500], [0.667, 0.333, 0.254], [0.667, 0.333, 0.746], [0.333, 0.667, 0.000], [0.000, 0.000, 0.500]], "crystal_system": "hexagonal"}



Looking at E for the records above, in order, we have -4.76, -4.47, -3.63, -4.20, -4.15, -4.28 eV/atom.